Compound: Sn2CF
Source: Alexandria via LeMat-Bulk
Functional: PBE
Structure: relaxed

The space group is Fm-3m (No. 225) and the conventional cell measures 6.3698, 6.3698 and 6.3698 Å, with angles of 90.00, 90.00 and 90.00 degrees. Symmetry generates all atoms from Sn at (0.2500, 0.2500, 0.2500), C at (0.0000, 0.0000, 0.0000) and F at (0.0000, 0.0000, 0.5000).

The value obtained for the excess energy over the best structure of this formula in the dataset is 189 meV/atom. For the total magnetization, the calculation gives 0.00 Bohr magnetons per cell. The formation energy without anion corrections is 0.3088 eV per atom.